SrCoBr after structural relaxation, computed with PBE-GGA.

D(E_F) = 3.41 states/eV/cell
ΔE_f (raw) = -0.1514 eV/atom

Cell lengths 4.118, 4.118, 8.955 Å; angles 90.00, 90.00, 120.00 degrees
Fractional coordinates of all 6 atoms:
Sr1 0.000 0.000 0.000
Sr2 0.000 0.000 0.500
Br1 0.333 0.667 0.250
Br2 0.667 0.333 0.750
Co1 0.667 0.333 0.250
Co2 0.333 0.667 0.750